Na2NdMnO4 | PBE with a Hubbard U | relaxed

```
data_Na2NdMnO4
_cell_length_a 9.4738
_cell_length_b 9.1702
_cell_length_c 6.8481
_cell_angle_alpha 90.00
_cell_angle_beta 131.95
_cell_angle_gamma 90.00
_space_group_name_H-M_alt 'C 1 2/c 1'
_space_group_IT_number 15
loop_
_space_group_symop_operation_xyz
'x,y,z'
'-x,-y,-z'
'-x,y,-z+1/2'
'x,-y,z+1/2'
'x+1/2,y+1/2,z'
'-x+1/2,-y+1/2,-z'
'-x+1/2,y+1/2,-z+1/2'
'x+1/2,-y+1/2,z+1/2'
loop_
_atom_site_label
_atom_site_fract_x
_atom_site_fract_y
_atom_site_fract_z
Na1 0.0000 0.0000 0.0000
Na2 0.2500 0.2500 0.0000
Nd1 0.2500 0.2500 0.5000
Mn1 0.0000 0.5000 0.0000
O1 0.0121 0.2807 0.0304
O2 0.2252 0.4997 0.0364
```

Calculated values
The crystal system is monoclinic. For the total energy, the calculation gives -6.400 eV/atom. The value obtained for the total moment is 15.9 μB per cell.